Computed, not measured: K2BiF5 after structural relaxation at the PBEsol level of DFT.

```
data_K2BiF5
_cell_length_a 6.569
_cell_length_b 7.444
_cell_length_c 11.335
_cell_angle_alpha 90.00
_cell_angle_beta 90.00
_cell_angle_gamma 90.00
_space_group_name_H-M_alt 'P 1'
_space_group_IT_number 1
_space_group_name_Hall 'P 1'
loop_
_atom_site_label
_atom_site_type_symbol
_atom_site_fract_x
_atom_site_fract_y
_atom_site_fract_z
K1 K 0.001 0.000 0.330
K2 K 0.001 0.500 0.330
K3 K 0.501 0.500 0.170
K4 K 0.499 0.500 0.830
K5 K 0.999 0.500 0.670
K6 K 0.499 0.000 0.830
K7 K 0.501 0.000 0.170
K8 K 0.999 0.000 0.670
Bi1 Bi 0.940 0.750 0.956
Bi2 Bi 0.560 0.750 0.456
Bi3 Bi 0.440 0.250 0.544
Bi4 Bi 0.060 0.250 0.044
F1 F 0.221 0.250 0.218
F2 F 0.108 0.547 0.096
F3 F 0.301 0.750 0.330
F4 F 0.392 0.547 0.596
F5 F 0.608 0.453 0.404
F6 F 0.279 0.250 0.718
F7 F 0.106 0.250 0.490
F8 F 0.394 0.250 0.990
F9 F 0.721 0.750 0.282
F10 F 0.108 0.953 0.096
F11 F 0.699 0.250 0.670
F12 F 0.199 0.750 0.830
F13 F 0.779 0.750 0.782
F14 F 0.608 0.047 0.404
F15 F 0.606 0.750 0.010
F16 F 0.894 0.750 0.510
F17 F 0.392 0.953 0.596
F18 F 0.892 0.047 0.904
F19 F 0.801 0.250 0.170
F20 F 0.892 0.453 0.904
```

Calculated values
N(E_F)	0.000	states/eV/f.u.
formation energy without anion corrections	-2.680	eV per atom
spin magnetization	0.0	μB/f.u.
space-group type	No. 62

***

Computed, not measured: K3BiF6 after structural relaxation at the PBEsol level of DFT.

```
data_K3BiF6
_cell_length_a 6.667
_cell_length_b 6.667
_cell_length_c 6.667
_cell_angle_alpha 60.00
_cell_angle_beta 60.00
_cell_angle_gamma 60.00
_space_group_name_H-M_alt 'P 1'
_space_group_IT_number 1
_space_group_name_Hall 'P 1'
loop_
_atom_site_label
_atom_site_type_symbol
_atom_site_fract_x
_atom_site_fract_y
_atom_site_fract_z
K1 K 0.250 0.250 0.250
K2 K 0.750 0.750 0.750
K3 K 0.500 0.500 0.500
Bi1 Bi 0.000 0.000 0.000
F1 F 0.238 0.238 0.762
F2 F 0.762 0.238 0.762
F3 F 0.238 0.762 0.238
F4 F 0.762 0.762 0.238
F5 F 0.762 0.238 0.238
F6 F 0.238 0.762 0.762
```

Calculated values
N(E_F)	0.000	states/eV/f.u.
formation energy without anion corrections	-2.595	eV per atom
spin magnetization	0.0	μB/f.u.
space-group type	No. 225

***

Computed, not measured: K2LiBiF6 after structural relaxation at the PBEsol level of DFT.

```
data_K2LiBiF6
_cell_length_a 6.040
_cell_length_b 6.040
_cell_length_c 6.040
_cell_angle_alpha 60.00
_cell_angle_beta 60.00
_cell_angle_gamma 60.00
_space_group_name_H-M_alt 'P 1'
_space_group_IT_number 1
_space_group_name_Hall 'P 1'
loop_
_atom_site_label
_atom_site_type_symbol
_atom_site_fract_x
_atom_site_fract_y
_atom_site_fract_z
K1 K 0.750 0.750 0.750
K2 K 0.250 0.250 0.250
Li1 Li 0.500 0.500 0.500
Bi1 Bi 0.000 0.000 0.000
F1 F 0.738 0.262 0.262
F2 F 0.738 0.738 0.262
F3 F 0.262 0.738 0.738
F4 F 0.738 0.262 0.738
F5 F 0.262 0.738 0.262
F6 F 0.262 0.262 0.738
```

Calculated values
N(E_F)	0.000	states/eV/f.u.
formation energy without anion corrections	-2.675	eV per atom
spin magnetization	0.0	μB/f.u.
space-group type	No. 225